Entry 1:
Here is crystalline GdYHg6 at its relaxed geometry from OQMD via LeMat-Bulk. Energies are from GGA-PBE.

Properties
- total DFT energy (no corrections) (eV/atom) = -1.9752
- ΔE_f (eV per formula unit) = -2.90

Cell lengths 6.612, 6.612, 5.009 Å; angles 90.00, 90.00, 120.00 degrees
Fractional positions:
1 Hg 0.999 0.500 0.000
2 Hg 0.833 0.666 0.500
3 Hg 0.833 0.167 0.500
4 Hg 0.334 0.167 0.500
5 Hg 0.500 0.001 0.000
6 Hg 0.500 0.500 0.000
7 Y 0.333 0.667 0.500
8 Gd 0.000 0.000 0.000

Entry 2:
Here is crystalline Y2TmGa3AgIr2 at its relaxed geometry from OQMD via LeMat-Bulk. Energies are from GGA-PBE.

Properties
- total DFT energy (no corrections) (eV/atom) = -5.9371

Cell lengths 3.848, 7.283, 7.283 Å; angles 119.19, 90.00, 90.00 degrees
Fractional positions:
1 Y 0.000 0.409 0.000
2 Y 0.000 0.000 0.409
3 Ag 0.000 0.995 0.995
4 Ga 0.500 0.272 0.272
5 Ga 0.500 0.727 0.001
6 Ga 0.500 0.001 0.727
7 Ir 0.500 0.665 0.340
8 Ir 0.500 0.340 0.665
9 Tm 0.000 0.590 0.590

Entry 3:
Here is crystalline MgZnPt2N4 at its relaxed geometry from OQMD via LeMat-Bulk. Energies are from GGA-PBE.

Properties
- total DFT energy (no corrections) (eV/atom) = -5.4867

Cell lengths 5.759, 5.759, 5.759 Å; angles 132.15, 132.15, 69.99 degrees
Fractional positions:
1 N 0.872 0.870 0.488
2 N 0.616 0.128 0.998
3 N 0.382 0.384 0.512
4 N 0.130 0.618 0.002
5 Pt 0.500 0.500 0.000
6 Pt 0.250 0.750 0.500
7 Zn 0.750 0.250 0.500
8 Mg 0.000 0.000 0.000

Entry 4:
Here is crystalline LuZnNiAg at its relaxed geometry from OQMD via LeMat-Bulk. Energies are from GGA-PBE.

Properties
- total DFT energy (no corrections) (eV/atom) = -3.6799
- ΔE_f (eV per formula unit) = -0.54

Cell lengths 4.593, 4.593, 4.593 Å; angles 60.00, 60.00, 60.00 degrees
Fractional positions:
1 Lu 0.250 0.250 0.250
2 Zn 0.000 0.000 0.000
3 Ag 0.500 0.500 0.500
4 Ni 0.750 0.750 0.750

Entry 5:
Here is crystalline HfTa2Cd at its relaxed geometry from OQMD via LeMat-Bulk. Energies are from GGA-PBE.

Properties
- total DFT energy (no corrections) (eV/atom) = -8.4099
- ΔE_f (eV per formula unit) = 0.92

Cell lengths 4.782, 4.782, 4.782 Å; angles 60.00, 60.00, 60.00 degrees
Fractional positions:
1 Hf 0.500 0.500 0.500
2 Ta 0.250 0.250 0.250
3 Ta 0.000 0.000 0.000
4 Cd 0.750 0.750 0.750

Entry 6:
Here is crystalline ZnPd19 at its relaxed geometry from OQMD via LeMat-Bulk. Energies are from GGA-PBE.

Properties
- total DFT energy (no corrections) (eV/atom) = -4.9572
- offset from the most stable computed form (meV/atom) = 16
- ΔE_f (eV per formula unit) = 0.45

Cell lengths 5.567, 3.910, 40.850 Å; angles 90.00, 90.00, 90.00 degrees
Fractional positions:
1 Pd 0.375 0.750 0.948
2 Pd 0.125 0.250 0.845
3 Pd 0.625 0.250 0.914
4 Pd 0.125 0.250 0.259
5 Pd 0.376 0.750 0.224
6 Pd 0.127 0.250 0.705
7 Pd 0.125 0.250 0.327
8 Pd 0.375 0.750 0.017
9 Pd 0.875 0.750 0.741
10 Pd 0.624 0.250 0.776
11 Pd 0.625 0.250 0.259
12 Pd 0.623 0.250 0.705
13 Pd 0.125 0.250 0.983
14 Pd 0.875 0.750 0.949
15 Pd 0.126 0.250 0.776
16 Pd 0.125 0.250 0.914
17 Pd 0.375 0.750 0.811
18 Pd 0.125 0.250 0.051
19 Pd 0.375 0.750 0.880
20 Pd 0.125 0.250 0.190
21 Pd 0.625 0.250 0.120
22 Pd 0.875 0.750 0.155
23 Pd 0.625 0.250 0.052
24 Pd 0.874 0.750 0.224
25 Pd 0.875 0.750 0.086
26 Pd 0.377 0.750 0.295
27 Pd 0.625 0.250 0.845
28 Pd 0.375 0.750 0.086
29 Pd 0.375 0.750 0.741
30 Pd 0.125 0.250 0.120
31 Pd 0.875 0.750 0.880
32 Pd 0.625 0.250 0.189
33 Pd 0.375 0.750 0.155
34 Pd 0.875 0.750 0.810
35 Pd 0.875 0.750 0.673
36 Pd 0.625 0.250 0.983
37 Pd 0.875 0.750 0.017
38 Pd 0.873 0.750 0.295
39 Zn 0.375 0.750 0.677
40 Zn 0.625 0.250 0.323

Entry 7:
Here is crystalline FeCuTcSn at its relaxed geometry from OQMD via LeMat-Bulk. Energies are from GGA-PBE.

Properties
- total DFT energy (no corrections) (eV/atom) = -6.3728
- offset from the most stable computed form (meV/atom) = 0

Cell lengths 4.387, 4.387, 4.387 Å; angles 60.00, 60.00, 60.00 degrees
Fractional positions:
1 Tc 0.250 0.250 0.250
2 Sn 0.000 0.000 0.000
3 Cu 0.750 0.750 0.750
4 Fe 0.500 0.500 0.500

Entry 8:
Here is crystalline Pr3Mg3In2Pt at its relaxed geometry from OQMD via LeMat-Bulk. Energies are from GGA-PBE.

Properties
- total DFT energy (no corrections) (eV/atom) = -3.9446

Cell lengths 7.668, 7.668, 4.662 Å; angles 90.00, 90.00, 120.00 degrees
Fractional positions:
1 Mg 0.000 0.771 0.500
2 Mg 0.229 0.229 0.500
3 Mg 0.771 0.000 0.500
4 Pt 0.000 0.000 0.000
5 In 0.333 0.667 0.500
6 In 0.667 0.333 0.500
7 Pr 0.000 0.397 0.000
8 Pr 0.397 0.000 0.000
9 Pr 0.603 0.603 0.000

Entry 9:
Here is crystalline GaNiPdPt at its relaxed geometry from OQMD via LeMat-Bulk. Energies are from GGA-PBE.

Properties
- total DFT energy (no corrections) (eV/atom) = -5.2579
- offset from the most stable computed form (meV/atom) = 0

Cell lengths 4.322, 4.322, 4.322 Å; angles 60.00, 60.00, 60.00 degrees
Fractional positions:
1 Pd 0.500 0.500 0.500
2 Ga 0.000 0.000 0.000
3 Pt 0.250 0.250 0.250
4 Ni 0.750 0.750 0.750

Entry 10:
Here is crystalline DyLuIn4Ni2 at its relaxed geometry from OQMD via LeMat-Bulk. Energies are from GGA-PBE.

Properties
- total DFT energy (no corrections) (eV/atom) = -4.3277

Cell lengths 7.420, 5.619, 5.619 Å; angles 44.96, 90.00, 90.00 degrees
Fractional positions:
1 In 0.699 0.857 0.857
2 In 0.798 0.143 0.143
3 In 0.202 0.143 0.143
4 In 0.301 0.857 0.857
5 Ni 0.000 0.716 0.716
6 Ni 0.500 0.285 0.285
7 Lu 0.500 0.567 0.567
8 Dy 0.000 0.433 0.433

Entry 11:
Here is crystalline SrSbPt at its relaxed geometry from OQMD via LeMat-Bulk. Energies are from GGA-PBE.

Properties
- total DFT energy (no corrections) (eV/atom) = -4.9104

Cell lengths 4.556, 4.556, 4.519 Å; angles 90.00, 90.00, 120.00 degrees
Fractional positions:
1 Sb 0.667 0.333 0.500
2 Pt 0.333 0.667 0.500
3 Sr 0.000 0.000 0.000

Entry 12:
Here is crystalline TaFeBiIr at its relaxed geometry from OQMD via LeMat-Bulk. Energies are from GGA-PBE.

Properties
- total DFT energy (no corrections) (eV/atom) = -7.8470
- offset from the most stable computed form (meV/atom) = 115

Cell lengths 4.621, 4.621, 4.621 Å; angles 60.00, 60.00, 60.00 degrees
Fractional positions:
1 Bi 0.000 0.000 0.000
2 Fe 0.750 0.750 0.750
3 Ir 0.500 0.500 0.500
4 Ta 0.250 0.250 0.250

Entry 13:
Here is crystalline TmAl3GaNi at its relaxed geometry from OQMD via LeMat-Bulk. Energies are from GGA-PBE.

Properties
- total DFT energy (no corrections) (eV/atom) = -4.6086
- offset from the most stable computed form (meV/atom) = 0

Cell lengths 7.846, 7.846, 6.655 Å; angles 90.00, 90.00, 150.23 degrees
Fractional positions:
1 Al 0.188 0.812 0.947
2 Al 0.812 0.188 0.447
3 Al 0.574 0.426 0.750
4 Al 0.188 0.812 0.553
5 Al 0.812 0.188 0.053
6 Al 0.426 0.574 0.250
7 Ni 0.727 0.273 0.750
8 Ni 0.273 0.727 0.250
9 Ga 0.000 0.000 0.000
10 Ga 0.000 0.000 0.500
11 Tm 0.619 0.381 0.250
12 Tm 0.381 0.619 0.750

Entry 14:
Here is crystalline Dy2YAl3Cu2Ni at its relaxed geometry from OQMD via LeMat-Bulk. Energies are from GGA-PBE.

Properties
- total DFT energy (no corrections) (eV/atom) = -4.9429

Cell lengths 3.988, 6.994, 6.994 Å; angles 120.13, 90.00, 90.00 degrees
Fractional positions:
1 Ni 0.000 0.002 0.002
2 Dy 0.000 0.000 0.411
3 Dy 0.000 0.411 0.000
4 Y 0.000 0.588 0.588
5 Al 0.500 0.770 0.000
6 Al 0.500 0.000 0.770
7 Al 0.500 0.230 0.230
8 Cu 0.500 0.668 0.332
9 Cu 0.500 0.332 0.668

Entry 15:
Here is crystalline ErLuCu at its relaxed geometry from OQMD via LeMat-Bulk. Energies are from GGA-PBE.

Properties
- total DFT energy (no corrections) (eV/atom) = -3.5372
- ΔE_f (eV per formula unit) = 2.19

Cell lengths 4.694, 4.694, 4.694 Å; angles 60.00, 60.00, 60.00 degrees
Fractional positions:
1 Lu 0.000 0.000 0.000
2 Cu 0.250 0.250 0.250
3 Er 0.750 0.750 0.750

Entry 16:
Here is crystalline DyZr at its relaxed geometry from OQMD via LeMat-Bulk. Energies are from GGA-PBE.

Properties
- total DFT energy (no corrections) (eV/atom) = -6.5042
- ΔE_f (eV per formula unit) = 0.14

Cell lengths 5.836, 10.327, 5.358 Å; angles 90.00, 90.00, 90.00 degrees
Fractional positions:
1 Zr 0.513 0.844 0.000
2 Zr 0.997 0.339 0.000
3 Zr 0.823 0.849 0.500
4 Zr 0.323 0.984 0.500
5 Zr 0.497 0.495 0.000
6 Zr 0.013 0.989 0.000
7 Dy 0.850 0.159 0.500
8 Dy 0.828 0.496 0.500
9 Dy 0.350 0.675 0.500
10 Dy 0.489 0.161 0.000
11 Dy 0.328 0.337 0.500
12 Dy 0.989 0.673 0.000

Entry 17:
Here is crystalline Y4Lu2Pb3C3 at its relaxed geometry from OQMD via LeMat-Bulk. Energies are from GGA-PBE.

Properties
- total DFT energy (no corrections) (eV/atom) = -6.6618

Cell lengths 6.269, 6.269, 16.357 Å; angles 101.06, 101.06, 60.02 degrees
Fractional positions:
1 Y 0.971 0.806 0.416
2 Y 0.305 0.138 0.416
3 Y 0.138 0.305 0.916
4 Y 0.862 0.695 0.084
5 Y 0.029 0.194 0.584
6 Y 0.806 0.971 0.916
7 Y 0.194 0.029 0.084
8 Y 0.695 0.862 0.584
9 Lu 0.474 0.641 0.921
10 Lu 0.526 0.359 0.079
11 Lu 0.641 0.474 0.421
12 Lu 0.359 0.526 0.579
13 C 0.664 0.172 0.500
14 C 0.172 0.664 0.000
15 C 0.336 0.828 0.500
16 C 0.500 0.000 0.000
17 C 0.828 0.336 0.000
18 C 0.000 0.500 0.500
19 Pb 0.739 0.582 0.750
20 Pb 0.905 0.095 0.250
21 Pb 0.095 0.905 0.750
22 Pb 0.261 0.418 0.250
23 Pb 0.582 0.739 0.250
24 Pb 0.418 0.261 0.750

Entry 18:
Here is crystalline AcMgTlHg at its relaxed geometry from OQMD via LeMat-Bulk. Energies are from GGA-PBE.

Properties
- total DFT energy (no corrections) (eV/atom) = -2.4397

Cell lengths 5.453, 5.453, 5.453 Å; angles 60.00, 60.00, 60.00 degrees
Fractional positions:
1 Mg 0.250 0.250 0.250
2 Tl 0.500 0.500 0.500
3 Hg 0.000 0.000 0.000
4 Ac 0.750 0.750 0.750

Entry 19:
Here is crystalline NaReAg3O4 at its relaxed geometry from OQMD via LeMat-Bulk. Energies are from GGA-PBE.

Properties
- total DFT energy (no corrections) (eV/atom) = -4.9946

Cell lengths 5.630, 5.630, 5.630 Å; angles 90.00, 90.00, 90.00 degrees
Fractional positions:
1 Na 0.000 0.000 0.000
2 O 0.302 0.698 0.698
3 O 0.698 0.302 0.698
4 O 0.302 0.302 0.302
5 O 0.698 0.698 0.302
6 Re 0.500 0.500 0.500
7 Ag 0.000 0.500 0.500
8 Ag 0.500 0.000 0.500
9 Ag 0.500 0.500 0.000

Entry 20:
Here is crystalline YGaCoOs at its relaxed geometry from OQMD via LeMat-Bulk. Energies are from GGA-PBE.

Properties
- total DFT energy (no corrections) (eV/atom) = -6.9303
- offset from the most stable computed form (meV/atom) = 0

Cell lengths 4.503, 4.503, 4.503 Å; angles 60.00, 60.00, 60.00 degrees
Fractional positions:
1 Co 0.750 0.750 0.750
2 Ga 0.000 0.000 0.000
3 Y 0.500 0.500 0.500
4 Os 0.250 0.250 0.250